1.
First-principles (PBE) data for crystalline LaTcC2 at its relaxed geometry, as listed in Alexandria via LeMat-Bulk.

Values from the calculation:
- calculated formation energy (eV per formula unit) = -0.38
- excess energy over the best structure of this formula in the dataset (meV/atom) = 0
- symmetry = Amm2
- size of the total moment (μB per cell) = 0.0
- volume (A^3/atom) = 15.65

```
data_LaTcC2
_cell_length_a 4.230
_cell_length_b 4.841
_cell_length_c 6.114
_cell_angle_alpha 90.00
_cell_angle_beta 90.00
_cell_angle_gamma 90.00
_space_group_name_H-M_alt 'P 1'
_space_group_IT_number 1
_space_group_name_Hall 'P 1'
loop_
_atom_site_label
_atom_site_type_symbol
_atom_site_fract_x
_atom_site_fract_y
_atom_site_fract_z
La1 La 0.000 0.000 0.000
La2 La 0.000 0.500 0.500
Tc1 Tc 0.500 0.000 0.592
Tc2 Tc 0.500 0.500 0.092
C1 C 0.500 0.148 0.265
C2 C 0.500 0.352 0.765
C3 C 0.500 0.648 0.765
C4 C 0.500 0.852 0.265
```

2.
First-principles (PBE) data for crystalline CeRhN at its relaxed geometry, as listed in Alexandria via LeMat-Bulk.

Values from the calculation:
- electronic total energy (eV per cell) = -95.4
- symmetry = I4/mmm
- size of the total moment (μB per cell) = 2.3
- volume (A^3/atom) = 18.23

```
data_CeRhN
_cell_length_a 3.842
_cell_length_b 3.842
_cell_length_c 14.826
_cell_angle_alpha 90.00
_cell_angle_beta 90.00
_cell_angle_gamma 90.00
_space_group_name_H-M_alt 'P 1'
_space_group_IT_number 1
_space_group_name_Hall 'P 1'
loop_
_atom_site_label
_atom_site_type_symbol
_atom_site_fract_x
_atom_site_fract_y
_atom_site_fract_z
Ce1 Ce 0.000 0.000 0.170
Ce2 Ce 0.000 0.000 0.830
Ce3 Ce 0.500 0.500 0.330
Ce4 Ce 0.500 0.500 0.670
Rh1 Rh 0.000 0.500 0.000
Rh2 Rh 0.000 0.500 0.500
Rh3 Rh 0.500 0.000 0.000
Rh4 Rh 0.500 0.000 0.500
N1 N 0.000 0.500 0.250
N2 N 0.000 0.500 0.750
N3 N 0.500 0.000 0.250
N4 N 0.500 0.000 0.750
```

3.
First-principles (PBE) data for crystalline AgSbPd3 at its relaxed geometry, as listed in Alexandria via LeMat-Bulk.

Values from the calculation:
- excess energy over the best structure of this formula in the dataset (meV/atom) = 0
- symmetry = P2_1/m
- size of the total moment (μB per cell) = 0.0
- volume (A^3/atom) = 17.04

```
data_AgSbPd3
_cell_length_a 5.300
_cell_length_b 4.571
_cell_length_c 7.395
_cell_angle_alpha 90.00
_cell_angle_beta 107.97
_cell_angle_gamma 90.00
_space_group_name_H-M_alt 'P 1'
_space_group_IT_number 1
_space_group_name_Hall 'P 1'
loop_
_atom_site_label
_atom_site_type_symbol
_atom_site_fract_x
_atom_site_fract_y
_atom_site_fract_z
Ag1 Ag 0.128 0.250 0.090
Ag2 Ag 0.872 0.750 0.910
Sb1 Sb 0.286 0.750 0.705
Sb2 Sb 0.714 0.250 0.295
Pd1 Pd 0.038 0.750 0.316
Pd2 Pd 0.350 0.250 0.488
Pd3 Pd 0.456 0.750 0.104
Pd4 Pd 0.544 0.250 0.896
Pd5 Pd 0.650 0.750 0.512
Pd6 Pd 0.962 0.250 0.684
```